Entry 1:
GGA-PBE In2GeAs2, relaxed; total DFT energy (no corrections) = -3.673 eV per atom; energy above the lowest structure with this stoichiometry = 55 meV per atom; total moment = 0.00 μB/atom; ΔH_f (0 K) = 206 meV/atom; calculated volume = 23.93 Å³/atom
1.0
3.773 0.000 0.000
0.000 3.773 0.000
1.886 1.886 8.404
As Ge In
2 1 2
Direct
0.750 0.250 0.500
0.250 0.750 0.500
0.000 0.000 0.000
0.400 0.400 0.199
0.600 0.600 0.801

Entry 2:
GGA-PBE InGeAs2, relaxed; total DFT energy (no corrections) = -4.169 eV per atom; energy above the lowest structure with this stoichiometry = 0 meV per atom; total moment = 0.00 μB/atom; ΔH_f (0 K) = -5 meV/atom; calculated volume = 28.56 Å³/atom
1.0
6.057 0.000 0.000
0.000 6.057 0.000
3.028 3.028 6.228
As Ge In
4 2 2
Direct
0.605 0.125 0.250
0.145 0.625 0.250
0.375 0.395 0.750
0.875 0.855 0.750
0.500 0.500 0.000
0.250 0.750 0.500
0.000 0.000 0.000
0.750 0.250 0.500

Entry 3:
GGA-PBE InGeAs2, relaxed; total DFT energy (no corrections) = -3.883 eV per atom; energy above the lowest structure with this stoichiometry = 285 meV per atom; total moment = 0.00 μB/atom; ΔH_f (0 K) = 280 meV/atom; calculated volume = 21.07 Å³/atom
1.0
0.000 3.480 3.480
3.480 0.000 3.480
3.480 3.480 0.000
As Ge In
2 1 1
Direct
0.250 0.250 0.250
0.750 0.750 0.750
0.000 0.000 0.000
0.500 0.500 0.500

Entry 4:
GGA-PBE In2GeAs2, relaxed; total DFT energy (no corrections) = -3.728 eV per atom; energy above the lowest structure with this stoichiometry = 0 meV per atom; total moment = 0.00 μB/atom; ΔH_f (0 K) = 151 meV/atom; calculated volume = 23.10 Å³/atom
1.0
7.735 0.000 0.000
0.000 7.735 0.000
0.000 0.000 3.862
As Ge In
4 2 4
Direct
0.334 0.834 0.000
0.834 0.666 0.000
0.666 0.166 0.000
0.166 0.334 0.000
0.000 0.000 0.000
0.500 0.500 0.000
0.146 0.646 0.500
0.646 0.854 0.500
0.854 0.354 0.500
0.354 0.146 0.500

Entry 5:
GGA-PBE In2GeAs, relaxed; total DFT energy (no corrections) = -3.469 eV per atom; energy above the lowest structure with this stoichiometry = 176 meV per atom; total moment = 0.00 μB/atom; ΔH_f (0 K) = 217 meV/atom; calculated volume = 22.92 Å³/atom
1.0
0.000 3.579 3.579
3.579 0.000 3.579
3.579 3.579 0.000
As Ge In
1 1 2
Direct
0.500 0.500 0.500
0.000 0.000 0.000
0.250 0.250 0.250
0.750 0.750 0.750

Entry 6:
GGA-PBE In2Ge2As, relaxed; total DFT energy (no corrections) = -3.669 eV per atom; energy above the lowest structure with this stoichiometry = 0 meV per atom; total moment = 0.00 μB/atom; ΔH_f (0 K) = 203 meV/atom; calculated volume = 23.69 Å³/atom
1.0
-3.978 5.890 0.602
-1.537 -0.327 -6.958
-3.732 -2.617 0.947
As Ge In
2 4 4
Direct
0.000 0.000 0.000
0.500 0.500 0.000
0.368 0.868 0.000
0.868 0.632 0.000
0.632 0.132 0.000
0.132 0.368 0.000
0.180 0.680 0.500
0.680 0.820 0.500
0.820 0.320 0.500
0.320 0.180 0.500